No. 1
A plane-wave DFT calculation with PBE was carried out for a relaxed Re2RuW crystal.

The value obtained for the density of states at the Fermi level is 8.022 states/eV per cell. The value obtained for the energy above the lowest structure with this stoichiometry is 23.5 kJ per mole of atoms. The formation energy comes out at 1.212 eV per formula unit.

It has space group R3m (No. 160, hexagonal axes), with a = 4.3904 Å, b = 4.3904 Å, c = 11.1828 Å, α = 90.00°, β = 90.00° and γ = 120.00°. The inequivalent atoms are Re at (0.0000, 0.0000, 0.0000), Re at (0.0000, 0.0000, 0.2275), Ru at (0.0000, 0.0000, 0.5265) and W at (0.0000, 0.0000, 0.7518).

=====

No. 2
A plane-wave DFT calculation with PBE was carried out for a relaxed ReRuW2 crystal.

The value obtained for the density of states at the Fermi level is 4.977 states/eV per cell. The value obtained for the energy above the lowest structure with this stoichiometry is 8.3 kJ per mole of atoms. The formation energy comes out at 0.859 eV per formula unit.

It has space group P4/mmm (No. 123), with a = 3.210 Å, b = 3.210 Å, c = 5.994 Å, α = 90.00°, β = 90.00° and γ = 90.00°. The inequivalent atoms are Re at (0.000, 0.000, 0.000), Ru at (0.000, 0.000, 0.500) and W at (0.500, 0.500, 0.248).

=====

No. 3
A plane-wave DFT calculation with PBE was carried out for a relaxed ReRuW2 crystal.

The value obtained for the density of states at the Fermi level is 6.868 states/eV per cell. The value obtained for the energy above the lowest structure with this stoichiometry is 4.6 kJ per mole of atoms. The formation energy comes out at 0.705 eV per formula unit.

It has space group Imm2 (No. 44), with a = 3.123 Å, b = 4.455 Å, c = 8.910 Å, α = 90.00°, β = 90.00° and γ = 90.00°. The inequivalent atoms are Re at (0.000, 0.000, 0.000), Ru at (0.000, 0.500, 0.769), W at (0.000, 0.000, 0.522) and W at (0.000, 0.500, 0.260).

=====

No. 4
A plane-wave DFT calculation with PBE was carried out for a relaxed ReRuW2 crystal.

The value obtained for the density of states at the Fermi level is 22.002 states/eV per cell. The value obtained for the energy above the lowest structure with this stoichiometry is 12.1 kJ per mole of atoms. The formation energy comes out at 1.014 eV per formula unit.

It has space group R3m (No. 160, hexagonal axes), with a = 2.7745 Å, b = 2.7745 Å, c = 27.8809 Å, α = 90.00°, β = 90.00° and γ = 120.00°. The inequivalent atoms are Re at (0.0000, 0.0000, 0.0000), Ru at (0.0000, 0.0000, 0.7453), W at (0.0000, 0.0000, 0.2483) and W at (0.0000, 0.0000, 0.4930).

=====

No. 5
A plane-wave DFT calculation with PBE was carried out for a relaxed Re2RuW crystal.

The value obtained for the density of states at the Fermi level is 4.253 states/eV per cell. The value obtained for the energy above the lowest structure with this stoichiometry is 3.3 kJ per mole of atoms. The formation energy comes out at 0.374 eV per formula unit.

It has space group P4mm (No. 99), with a = 2.778 Å, b = 2.778 Å, c = 7.806 Å, α = 90.00°, β = 90.00° and γ = 90.00°. The inequivalent atoms are Re at (0.000, 0.000, 0.000), Re at (0.500, 0.500, 0.244), Ru at (0.000, 0.000, 0.487) and W at (0.500, 0.500, 0.738).

=====

No. 6
A plane-wave DFT calculation with PBE was carried out for a relaxed Re2RuW crystal.

The value obtained for the density of states at the Fermi level is 6.338 states/eV per cell. The value obtained for the energy above the lowest structure with this stoichiometry is 2.6 kJ per mole of atoms. The formation energy comes out at 0.342 eV per formula unit.

It has space group Cm (No. 8), with a = 9.162 Å, b = 2.774 Å, c = 4.814 Å, α = 90.00°, β = 100.03° and γ = 90.00°. The inequivalent atoms are Re at (0.000, 0.000, 0.000), Re at (0.249, 0.500, 0.242), Ru at (0.255, 0.000, 0.759) and W at (0.005, 0.500, 0.508).